# 1
Compound: Tm8Tl2Ir
Source: Alexandria via LeMat-Bulk
Functional: PBE
Structure: relaxed

Results
Final energy ... -4.79 eV per atom
Formation enthalpy at 0 K ... -0.3055 eV/atom

a = 5.1488 Å, b = 6.6805 Å, c = 9.7929 Å
α = 111.87°, β = 105.24°, γ = 90.00°
Fractional coordinates of all 11 atoms:
Tm: 0.4078 0.5602 0.8156
Tm: 0.6490 0.9971 0.2979
Tm: 0.7910 0.6667 0.5819
Tm: 0.9806 0.2054 0.9612
Tm: 0.2090 0.3333 0.4181
Tm: 0.3510 0.0029 0.7021
Tm: 0.5922 0.4398 0.1844
Tm: 0.0194 0.7946 0.0388
Tl: 0.8277 0.2601 0.6553
Tl: 0.1723 0.7399 0.3447
Ir: 0.5000 0.0000 0.0000

---

# 2
Compound: CaTmSi4
Source: Alexandria via LeMat-Bulk
Functional: PBE
Structure: relaxed

Results
Final energy ... -5.03 eV per atom
Uncorrected formation energy ... -340 meV/atom

a = 4.1631 Å, b = 7.3232 Å, c = 16.3270 Å
α = 90.00°, β = 90.00°, γ = 90.00°
Fractional coordinates of all 24 atoms:
Ca: 0.0000 0.6207 0.3325
Ca: 0.0000 0.3793 0.6675
Ca: 0.0000 0.1207 0.1675
Ca: 0.0000 0.8793 0.8325
Tm: 0.0000 0.6300 0.0875
Tm: 0.0000 0.3700 0.9125
Tm: 0.0000 0.1300 0.4125
Tm: 0.0000 0.8700 0.5875
Si: 0.5000 0.7792 0.1964
Si: 0.5000 0.2208 0.8036
Si: 0.5000 0.2792 0.3036
Si: 0.5000 0.7208 0.6964
Si: 0.5000 0.9012 0.0589
Si: 0.5000 0.0988 0.9411
Si: 0.5000 0.4012 0.4411
Si: 0.5000 0.5988 0.5589
Si: 0.5000 0.8542 0.4599
Si: 0.5000 0.1458 0.5401
Si: 0.5000 0.3542 0.0401
Si: 0.5000 0.6458 0.9599
Si: 0.5000 0.9567 0.3150
Si: 0.5000 0.0433 0.6850
Si: 0.5000 0.4567 0.1850
Si: 0.5000 0.5433 0.8150

---

# 3
Compound: SrU2F11
Source: Alexandria via LeMat-Bulk
Functional: PBE
Structure: relaxed

Results
Final energy ... -6.90 eV per atom
Uncorrected formation energy ... -3696 meV/atom

a = 8.5779 Å, b = 8.9209 Å, c = 8.9209 Å
α = 72.65°, β = 61.26°, γ = 61.26°
Last column: magnetic moment on the atom in μB.
Fractional coordinates of all 28 atoms:
Sr: 0.7500 0.7500 0.7500  0.00
Sr: 0.2500 0.2500 0.2500  0.00
U: 0.6492 0.6807 0.3193  1.54
U: 0.3508 0.3193 0.6807  1.54
U: 0.8508 0.1807 0.8193  1.54
U: 0.1492 0.8193 0.1807  1.54
F: 0.6364 0.7028 0.5566  -0.02
F: 0.3636 0.2972 0.4434  -0.02
F: 0.1042 0.5566 0.7028  -0.02
F: 0.8636 0.9434 0.7972  -0.02
F: 0.8958 0.4434 0.2972  -0.02
F: 0.1364 0.0566 0.2028  -0.02
F: 0.3958 0.7972 0.9434  -0.02
F: 0.6042 0.2028 0.0566  -0.02
F: 0.5000 0.5000 0.5000  0.00
F: 0.0000 0.0000 0.0000  0.00
F: 0.8664 0.7852 0.2148  -0.01
F: 0.1336 0.2148 0.7852  -0.01
F: 0.6336 0.2852 0.7148  -0.01
F: 0.3664 0.7148 0.2852  -0.01
F: 0.4578 0.9457 0.3227  -0.02
F: 0.5422 0.0543 0.6773  -0.02
F: 0.2738 0.3227 0.9457  -0.02
F: 0.0422 0.1773 0.5543  -0.02
F: 0.7262 0.6773 0.0543  -0.02
F: 0.9578 0.8227 0.4457  -0.02
F: 0.2262 0.5543 0.1773  -0.02
F: 0.7738 0.4457 0.8227  -0.02

---

# 4
Compound: ScIrSeBr2
Source: Alexandria via LeMat-Bulk
Functional: PBE
Structure: relaxed

Results
Final energy ... -4.16 eV per atom
Uncorrected formation energy ... 248 meV/atom
Excess energy over the best structure of this formula in the dataset ... 155 meV per atom

a = 5.0988 Å, b = 5.0988 Å, c = 5.4176 Å
α = 90.00°, β = 90.00°, γ = 90.00°
Last column: magnetic moment on the atom in μB.
Fractional coordinates of all 5 atoms:
Sc: 0.0000 0.0000 0.0000  0.02
Ir: 0.5000 0.5000 0.5000  2.02
Se: 0.0000 0.0000 0.5000  0.00
Br: 0.0000 0.5000 0.0000  0.03
Br: 0.5000 0.0000 0.0000  0.03

---

# 5
Compound: VAgSn2Mo
Source: Alexandria via LeMat-Bulk
Functional: PBE
Structure: relaxed

Results
Final energy ... -5.33 eV per atom
Formation enthalpy at 0 K ... 0.8332 eV/atom
Excess energy over the best structure of this formula in the dataset ... 0 meV per atom

a = 5.2883 Å, b = 4.5050 Å, c = 5.2883 Å
α = 90.00°, β = 90.00°, γ = 90.00°
Last column: magnetic moment on the atom in μB.
Fractional coordinates of all 5 atoms:
Mo: 0.0000 0.0000 0.0000  -0.25
Sn: 0.0000 0.0000 0.5000  0.01
Sn: 0.5000 0.0000 0.0000  0.01
Ag: 0.5000 0.5000 0.5000  0.00
V: 0.0000 0.5000 0.0000  0.03

---

# 6
Compound: ZrGe3H
Source: Alexandria via LeMat-Bulk
Functional: PBE
Structure: relaxed

Results
Final energy ... -5.09 eV per atom
Excess energy over the best structure of this formula in the dataset ... 0 meV per atom

a = 4.2747 Å, b = 4.2747 Å, c = 4.2747 Å
α = 90.00°, β = 90.00°, γ = 90.00°
Fractional coordinates of all 5 atoms:
H: 0.0000 0.0000 0.0000
Ge: 0.0000 0.5000 0.0000
Ge: 0.0000 0.0000 0.5000
Ge: 0.5000 0.0000 0.0000
Zr: 0.5000 0.5000 0.5000

---

# 7
Compound: ReRh
Source: Alexandria via LeMat-Bulk
Functional: PBE
Structure: relaxed

Results
Final energy ... -8.88 eV per atom
Formation enthalpy at 0 K ... 1.0195 eV/atom
Excess energy over the best structure of this formula in the dataset ... 1197 meV per atom

a = 3.8851 Å, b = 3.8851 Å, c = 5.2046 Å
α = 90.00°, β = 90.00°, γ = 120.00°
Fractional coordinates of all 4 atoms:
Re: 0.3333 0.6667 0.2500
Re: 0.6667 0.3333 0.7500
Rh: 0.0000 0.0000 0.0000
Rh: 0.0000 0.0000 0.5000

---

# 8
Compound: Zn2HgPt
Source: Alexandria via LeMat-Bulk
Functional: PBE
Structure: relaxed

Results
Final energy ... -2.26 eV per atom
Formation enthalpy at 0 K ... -0.0410 eV/atom

a = 4.5557 Å, b = 4.5557 Å, c = 4.5557 Å
α = 60.00°, β = 60.00°, γ = 60.00°
Fractional coordinates of all 4 atoms:
Hg: 0.5000 0.5000 0.5000
Pt: 0.2500 0.2500 0.2500
Zn: 0.0000 0.0000 0.0000
Zn: 0.7500 0.7500 0.7500

---

# 9
Compound: K4RbZn3F12
Source: Alexandria via LeMat-Bulk
Functional: PBE
Structure: relaxed

Results
Final energy ... -4.02 eV per atom
Uncorrected formation energy ... -2440 meV/atom

a = 7.5318 Å, b = 7.5318 Å, c = 7.5318 Å
α = 109.47°, β = 109.47°, γ = 109.47°
Last column: magnetic moment on the atom in μB.
Fractional coordinates of all 20 atoms:
K: 0.5000 0.5000 0.5000  0.00
K: 0.0000 0.0000 0.5000  0.00
K: 0.5000 0.0000 0.0000  0.00
K: 0.0000 0.5000 0.0000  0.00
Rb: 0.0000 0.0000 0.0000  0.01
Zn: 0.5000 0.0000 0.5000  0.06
Zn: 0.5000 0.5000 0.0000  0.06
Zn: 0.0000 0.5000 0.5000  0.06
F: 0.2500 0.5000 0.7500  0.03
F: 0.7145 0.0000 0.7145  0.03
F: 0.2855 0.0000 0.2855  0.03
F: 0.7500 0.5000 0.2500  0.03
F: 0.7145 0.7145 0.0000  0.03
F: 0.2855 0.2855 0.0000  0.03
F: 0.7500 0.2500 0.5000  0.03
F: 0.2500 0.7500 0.5000  0.03
F: 0.5000 0.2500 0.7500  0.03
F: 0.0000 0.7145 0.7145  0.03
F: 0.5000 0.7500 0.2500  0.03
F: 0.0000 0.2855 0.2855  0.03

---

# 10
Compound: Ac2TbTl3Te6
Source: Alexandria via LeMat-Bulk
Functional: PBE
Structure: relaxed

Results
Final energy ... -4.34 eV per atom
Uncorrected formation energy ... -1111 meV/atom

a = 8.1388 Å, b = 8.1388 Å, c = 8.6047 Å
α = 99.09°, β = 99.09°, γ = 119.93°
Fractional coordinates of all 12 atoms:
Ac: 0.3338 0.6662 0.0000
Ac: 0.6662 0.3338 0.0000
Tb: 0.0000 0.0000 0.0000
Tl: 0.1696 0.8304 0.5000
Tl: 0.8304 0.1696 0.5000
Tl: 0.5000 0.5000 0.5000
Te: 0.9261 0.6104 0.7782
Te: 0.7599 0.7599 0.2257
Te: 0.0739 0.3896 0.2218
Te: 0.6104 0.9261 0.7782
Te: 0.2401 0.2401 0.7743
Te: 0.3896 0.0739 0.2218

---

# 11
Compound: TaHgRu2N
Source: Alexandria via LeMat-Bulk
Functional: PBE
Structure: relaxed

Results
Final energy ... -5.43 eV per atom
Uncorrected formation energy ... 2380 meV/atom

a = 5.0050 Å, b = 3.7573 Å, c = 5.0050 Å
α = 90.00°, β = 90.00°, γ = 90.00°
Last column: magnetic moment on the atom in μB.
Fractional coordinates of all 5 atoms:
Ru: 0.0000 0.0000 0.5000  0.88
Ru: 0.5000 0.0000 0.0000  0.67
N: 0.0000 0.5000 0.0000  0.40
Hg: 0.0000 0.0000 0.0000  -0.01
Ta: 0.5000 0.5000 0.5000  -0.35

---

# 12
Compound: Mn2Al2H
Source: Alexandria via LeMat-Bulk
Functional: PBE
Structure: relaxed

Results
Final energy ... -5.78 eV per atom

a = 5.2529 Å, b = 5.2529 Å, c = 4.1714 Å
α = 90.00°, β = 90.00°, γ = 90.00°
Last column: magnetic moment on the atom in μB.
Fractional coordinates of all 10 atoms:
H: 0.0000 0.0000 0.0000  -0.02
H: 0.5000 0.5000 0.0000  -0.02
Mn: 0.3406 0.8406 0.0000  1.50
Mn: 0.8406 0.6594 0.0000  1.57
Mn: 0.6594 0.1594 0.0000  1.50
Mn: 0.1594 0.3406 0.0000  1.57
Al: 0.1656 0.6656 0.5000  -0.04
Al: 0.6656 0.8344 0.5000  -0.04
Al: 0.8344 0.3344 0.5000  -0.04
Al: 0.3344 0.1656 0.5000  -0.04

---

These records have total moment values of 0.0000; 0.0000; 0.2143; 0.4753; 0.0404; 0.0000; 0.0019; 0.0000; 0.0296; 0.0000; 0.3066; 0.5946 μB/atom, in the order they appear.